DFT (PBE) results for an optimized crystal structure of Li4Ga2Ag3.

crystal system = triclinic
symmetry = No. 2
size of the total moment = 0.000 μB per atom
ΔE to the lowest computed polymorph = 0.0000 eV per atom
Fermi-level density of states = 2.4 states/eV/cell

abc: 5.297 5.283 9.447
angles: 59.01 45.64 50.16
Element x y z (fractional)
Li  0.322  0.325  0.002
Li  0.891  0.550  0.670
Li  0.109  0.450  0.330
Li  0.678  0.675  0.998
Ga  0.768  0.112  0.333
Ga  0.232  0.888  0.667
Ag  0.579  0.227  0.660
Ag  0.000  0.000  0.000
Ag  0.421  0.773  0.340

***

DFT (PBE) results for an optimized crystal structure of PbCCl3.

crystal system = cubic
symmetry = No. 221
size of the total moment = 0.000 μB per atom
ΔE to the lowest computed polymorph = 0.0000 eV per atom
formation energy (no corrections) = 527 meV/atom
Fermi-level density of states = 2.4 states/eV/cell

abc: 4.650 4.650 4.650
angles: 90.00 90.00 90.00
Element x y z (fractional)
Pb  0.500  0.500  0.500
C  0.000  0.000  0.000
Cl  0.000  0.500  0.000
Cl  0.000  0.000  0.500
Cl  0.500  0.000  0.000

***

DFT (PBE) results for an optimized crystal structure of Sc3As2O.

crystal system = orthorhombic
symmetry = No. 36
size of the total moment = 0.000 μB per atom
formation energy (no corrections) = -1717 meV/atom
Fermi-level density of states = 6.4 states/eV/cell

abc: 6.075 6.269 6.269
angles: 112.33 90.00 90.00
Element x y z (fractional)
Sc  0.495  0.145  0.839
Sc  0.995  0.161  0.855
Sc  0.361  0.381  0.381
Sc  0.861  0.619  0.619
Sc  0.995  0.855  0.161
Sc  0.495  0.839  0.145
As  0.731  0.168  0.490
As  0.231  0.510  0.832
As  0.231  0.832  0.510
As  0.731  0.490  0.168
O  0.754  0.908  0.908
O  0.254  0.092  0.092